The following is a DFT calculation (GGA-PBE) of an optimized crystal structure of MgZr.

Results
**Space-group type**: No. 221
**M_tot**: 0.00 μB per formula unit
**Formation energy**: 0.0858 eV/atom
**V**: 43.7 Å³/cell

abc: 3.522 3.522 3.522
angles: 90.00 90.00 90.00
Sites, in units of the cell vectors:
Mg 0.500 0.500 0.500
Zr 0.000 0.000 0.000

---

The following is a DFT calculation (GGA-PBE) of an optimized crystal structure of MgZr2.

Results
**Space-group type**: No. 74
**M_tot**: 0.00 μB per formula unit
**Formation energy**: 0.3432 eV/atom
**V**: 295.1 Å³/cell

abc: 3.131 4.733 19.914
angles: 90.00 90.00 90.00
Sites, in units of the cell vectors:
Mg 0.000 0.250 0.609
Mg 0.000 0.750 0.391
Mg 0.500 0.250 0.891
Mg 0.500 0.750 0.109
Zr 0.000 0.250 0.046
Zr 0.000 0.250 0.189
Zr 0.000 0.750 0.811
Zr 0.000 0.750 0.954
Zr 0.500 0.250 0.311
Zr 0.500 0.250 0.454
Zr 0.500 0.750 0.546
Zr 0.500 0.750 0.689

---

The following is a DFT calculation (GGA-PBE) of an optimized crystal structure of MgZr.

Results
**Space-group type**: No. 176
**M_tot**: 0.00 μB per formula unit
**Formation energy**: 0.4461 eV/atom
**V**: 295.4 Å³/cell

abc: 8.317 8.317 4.931
angles: 90.00 90.00 120.00
Sites, in units of the cell vectors:
Mg 0.814 0.064 0.250
Mg 0.751 0.814 0.750
Mg 0.936 0.751 0.250
Mg 0.186 0.936 0.750
Mg 0.249 0.186 0.250
Mg 0.064 0.249 0.750
Zr 0.111 0.484 0.250
Zr 0.628 0.111 0.750
Zr 0.516 0.628 0.250
Zr 0.889 0.516 0.750
Zr 0.372 0.889 0.250
Zr 0.484 0.372 0.750